DFT (PBE) results for Li4CoOs after structural relaxation.

Electronic total energy in eV per atom: -3.888
ΔE_f in eV/atom: 0.44
Crystal system: cubic

Geometry as POSCAR:
```
Li4CoOs
1.0
0.000 3.283 3.283
3.283 0.000 3.283
3.283 3.283 0.000
Li Co Os
4 1 1
direct
0.124 0.124 0.124
0.124 0.124 0.627
0.124 0.627 0.124
0.627 0.124 0.124
0.500 0.500 0.500
0.750 0.750 0.750
```

***

DFT (PBE) results for LiCoOs3 after structural relaxation.

Electronic total energy in eV per atom: -7.086
ΔE_f in eV/atom: 1.46
Energy relative to the lowest polymorph listed for this composition in meV per atom: 0
Crystal system: cubic

Geometry as POSCAR:
```
LiCoOs3
1.0
4.029 0.000 0.000
0.000 4.029 0.000
0.000 0.000 4.029
Li Co Os
1 1 3
direct
0.000 0.000 0.000
0.500 0.500 0.500
0.000 0.000 0.500
0.000 0.500 0.000
0.500 0.000 0.000
```

***

DFT (PBE) results for LiCoOs after structural relaxation.

Electronic total energy in eV per atom: -6.566
ΔE_f in eV/atom: 0.18
Energy relative to the lowest polymorph listed for this composition in meV per atom: 78
Crystal system: monoclinic

Geometry as POSCAR:
```
LiCoOs
1.0
3.858 -2.261 0.000
3.858 2.261 0.000
-2.933 0.000 4.287
Li Co Os
2 2 2
direct
0.169 0.169 0.004
0.831 0.831 0.996
0.314 0.686 0.500
0.503 0.497 0.000
0.647 0.021 0.498
0.979 0.353 0.502
```

***

DFT (PBE) results for LiCoOs after structural relaxation.

Electronic total energy in eV per atom: -6.527
ΔE_f in eV/atom: 0.22
Energy relative to the lowest polymorph listed for this composition in meV per atom: 117
Crystal system: monoclinic

Geometry as POSCAR:
```
LiCoOs
1.0
3.991 -2.205 0.000
3.991 2.205 0.000
-2.758 0.000 3.814
Li Co Os
2 2 2
direct
0.000 0.500 0.000
0.500 0.000 0.000
0.000 0.000 0.000
0.000 0.000 0.500
0.368 0.368 0.614
0.632 0.632 0.386
```

***

DFT (PBE) results for LiCoOs after structural relaxation.

Electronic total energy in eV per atom: -6.112
ΔE_f in eV/atom: 0.64
Energy relative to the lowest polymorph listed for this composition in meV per atom: 532
Crystal system: tetragonal

Geometry as POSCAR:
```
LiCoOs
1.0
3.437 0.000 0.000
0.000 3.437 0.000
0.000 0.000 5.871
Li Co Os
2 2 2
direct
0.250 0.250 0.227
0.750 0.750 0.773
0.250 0.750 0.500
0.750 0.250 0.500
0.250 0.250 0.820
0.750 0.750 0.180
```

***

DFT (PBE) results for LiCo2Os after structural relaxation.

Electronic total energy in eV per atom: -6.660
ΔE_f in eV/atom: 0.18
Energy relative to the lowest polymorph listed for this composition in meV per atom: 19
Crystal system: trigonal

Geometry as POSCAR:
```
LiCo2Os
1.0
1.307 0.754 8.568
-1.307 0.754 8.568
0.000 -1.509 8.568
Li Co Os
1 2 1
direct
0.000 0.000 0.000
0.494 0.494 0.494
0.753 0.753 0.753
0.243 0.243 0.243
```

***

DFT (PBE) results for LiCoOs after structural relaxation.

Electronic total energy in eV per atom: -4.788
ΔE_f in eV/atom: 1.96
Energy relative to the lowest polymorph listed for this composition in meV per atom: 1855
Crystal system: hexagonal

Geometry as POSCAR:
```
LiCoOs
1.0
3.452 0.000 0.000
-1.726 2.989 0.000
0.000 0.000 8.942
Li Co Os
2 2 2
direct
0.333 0.667 0.250
0.667 0.333 0.750
0.000 0.000 0.250
0.000 0.000 0.750
0.000 0.000 0.000
0.000 0.000 0.500
```

***

DFT (PBE) results for LiCo2Os after structural relaxation.

Electronic total energy in eV per atom: -6.649
ΔE_f in eV/atom: 0.19
Energy relative to the lowest polymorph listed for this composition in meV per atom: 30
Crystal system: tetragonal

Geometry as POSCAR:
```
LiCo2Os
1.0
4.327 0.000 0.000
0.000 4.327 0.000
0.000 0.000 2.614
Li Co Os
1 2 1
direct
0.000 0.000 0.000
0.000 0.500 0.500
0.500 0.000 0.500
0.500 0.500 0.000
```

***

DFT (PBE) results for LiCo2Os after structural relaxation.

Electronic total energy in eV per atom: -6.494
ΔE_f in eV/atom: 0.34
Energy relative to the lowest polymorph listed for this composition in meV per atom: 185
Crystal system: orthorhombic

Geometry as POSCAR:
```
LiCo2Os
1.0
1.353 -2.189 0.000
1.353 2.189 0.000
0.000 0.000 8.731
Li Co Os
1 2 1
direct
0.000 0.000 0.000
0.500 0.500 0.253
0.500 0.500 0.747
0.000 0.000 0.500
```

***

DFT (PBE) results for LiCoOs2 after structural relaxation.

Electronic total energy in eV per atom: -7.621
ΔE_f in eV/atom: 0.25
Energy relative to the lowest polymorph listed for this composition in meV per atom: 51
Crystal system: orthorhombic

Geometry as POSCAR:
```
LiCoOs2
1.0
2.675 0.000 0.000
0.000 3.812 0.000
0.000 0.000 5.042
Li Co Os
1 1 2
direct
0.000 0.000 0.000
0.500 0.500 0.789
0.000 0.000 0.506
0.500 0.500 0.271
```

***

DFT (PBE) results for LiCoOs2 after structural relaxation.

Electronic total energy in eV per atom: -7.432
ΔE_f in eV/atom: 0.44
Energy relative to the lowest polymorph listed for this composition in meV per atom: 239
Crystal system: orthorhombic

Geometry as POSCAR:
```
LiCoOs2
1.0
1.375 -2.248 0.000
1.375 2.248 0.000
0.000 0.000 8.939
Li Co Os
1 1 2
direct
0.000 0.000 0.000
0.500 0.500 0.246
0.000 0.000 0.483
0.500 0.500 0.740
```

***

DFT (PBE) results for LiCo2Os after structural relaxation.

Electronic total energy in eV per atom: -6.574
ΔE_f in eV/atom: 0.27
Energy relative to the lowest polymorph listed for this composition in meV per atom: 106
Crystal system: tetragonal

Geometry as POSCAR:
```
LiCo2Os
1.0
2.571 0.000 0.000
0.000 2.571 0.000
0.000 0.000 7.584
Li Co Os
1 2 1
direct
0.000 0.000 0.000
0.000 0.000 0.516
0.500 0.500 0.735
0.500 0.500 0.278
```

***

> The lowest electronic total energy belongs to which entry?

number 10

***

> Which of these has the lowest electronic total energy?

number 10

***

> Among the records above, which one has the lowest electronic total energy?

number 10

***

> ΔE_f of number 5 (LiCoOs)?

0.64 eV/atom